Record 1
Below is a relaxed structure of ScAlCoAg, with properties calculated at the PBE level.

Cell and atoms, written as extended XYZ:
```
4
Lattice="0.000 3.152 3.152 3.152 0.000 3.152 3.152 3.152 0.000" Properties=species:S:1:pos:R:3 pbc="T T T"
Sc 0.000 0.000 0.000
Al 3.152 3.152 3.152
Co 4.728 4.728 4.728
Ag 1.576 1.576 1.576
```

Summary:
* M_tot: 0.397 μB per cell
* V: 15.65 Å³ per atom
* polymorph energy (0 for the lowest one): 0 meV per atom
* total energy: -5.28 eV/atom

Record 2
Below is a relaxed structure of GdZrTc, with properties calculated at the PBE level.

Cell and atoms, written as extended XYZ:
```
3
Lattice="0.000 3.275 3.275 3.275 0.000 3.275 3.275 3.275 0.000" Properties=species:S:1:pos:R:3 pbc="T T T"
Gd 0.000 0.000 0.000
Zr 1.638 1.638 1.638
Tc 4.913 4.913 4.913
```

Summary:
* calculated formation energy: 1.093 eV per atom
* M_tot: 0.013 μB per cell
* V: 23.42 Å³ per atom
* polymorph energy (0 for the lowest one): 416 meV per atom
* total energy: -6.76 eV/atom

Record 3
Below is a relaxed structure of ZnInFeAg, with properties calculated at the PBE level.

Cell and atoms, written as extended XYZ:
```
4
Lattice="0.000 3.213 3.213 3.213 0.000 3.213 3.213 3.213 0.000" Properties=species:S:1:pos:R:3 pbc="T T T"
Zn 0.000 0.000 0.000
In 3.213 3.213 3.213
Fe 4.820 4.820 4.820
Ag 1.607 1.607 1.607
```

Summary:
* M_tot: 2.284 μB per cell
* V: 16.59 Å³ per atom
* polymorph energy (0 for the lowest one): 0 meV per atom
* total energy: -3.58 eV/atom

Record 4
Below is a relaxed structure of GdDyZn6, with properties calculated at the PBE level.

Cell and atoms, written as extended XYZ:
```
8
Lattice="4.685 0.000 0.000 0.000 6.606 0.000 0.000 0.000 4.686" Properties=species:S:1:pos:R:3 pbc="T T T"
Gd 0.000 0.000 0.000
Dy 2.343 3.303 2.303
Zn 0.000 1.660 2.346
Zn 0.000 3.303 4.682
Zn 0.000 4.946 2.346
Zn 2.343 0.000 2.307
Zn 2.343 1.660 4.643
Zn 2.343 4.946 4.643
```

Summary:
* calculated formation energy: -0.296 eV per atom
* M_tot: 0.002 μB per cell
* V: 18.13 Å³ per atom
* total energy: -2.40 eV/atom

Record 5
Below is a relaxed structure of Hf2TlAg, with properties calculated at the PBE level.

Cell and atoms, written as extended XYZ:
```
4
Lattice="0.000 3.520 3.520 3.520 0.000 3.520 3.520 3.520 0.000" Properties=species:S:1:pos:R:3 pbc="T T T"
Hf 0.000 0.000 0.000
Hf 1.760 1.760 1.760
Tl 3.520 3.520 3.520
Ag 5.279 5.279 5.279
```

Summary:
* M_tot: 1.949 μB per cell
* V: 21.80 Å³ per atom
* total energy: -5.86 eV/atom

Record 6
Below is a relaxed structure of InPd9, with properties calculated at the PBE level.

Cell and atoms, written as extended XYZ:
```
20
Lattice="2.827 0.000 0.000 0.000 3.806 0.000 0.000 0.000 38.192" Properties=species:S:1:pos:R:3 pbc="T T T"
In 0.707 0.951 5.531
In 2.120 2.854 32.661
Pd 0.707 0.951 8.448
Pd 0.707 0.951 11.294
Pd 0.707 0.951 14.136
Pd 0.707 0.951 16.971
Pd 0.707 0.951 19.802
Pd 0.707 0.951 22.639
Pd 0.707 0.951 25.481
Pd 0.707 0.951 28.337
Pd 0.707 0.951 31.260
Pd 2.120 2.854 6.931
Pd 2.120 2.854 9.855
Pd 2.120 2.854 12.711
Pd 2.120 2.854 15.553
Pd 2.120 2.854 18.390
Pd 2.120 2.854 21.221
Pd 2.120 2.854 24.056
Pd 2.120 2.854 26.898
Pd 2.120 2.854 29.744
```

Summary:
* V: 20.55 Å³ per atom
* polymorph energy (0 for the lowest one): 0 meV per atom
* total energy: -4.97 eV/atom

Record 7
Below is a relaxed structure of Ta2GaTc, with properties calculated at the PBE level.

Cell and atoms, written as extended XYZ:
```
4
Lattice="0.000 3.200 3.200 3.200 0.000 3.200 3.200 3.200 0.000" Properties=species:S:1:pos:R:3 pbc="T T T"
Ta 0.000 0.000 0.000
Ta 1.600 1.600 1.600
Ga 3.200 3.200 3.200
Tc 4.801 4.801 4.801
```

Summary:
* M_tot: 0.918 μB per cell
* V: 16.39 Å³ per atom
* total energy: -9.29 eV/atom

Record 8
Below is a relaxed structure of CuReSnIr, with properties calculated at the PBE level.

Cell and atoms, written as extended XYZ:
```
4
Lattice="0.000 3.154 3.154 3.154 0.000 3.154 3.154 3.154 0.000" Properties=species:S:1:pos:R:3 pbc="T T T"
Cu 0.000 0.000 0.000
Re 3.154 3.154 3.154
Sn 4.731 4.731 4.731
Ir 1.577 1.577 1.577
```

Summary:
* M_tot: 0.060 μB per cell
* V: 15.68 Å³ per atom
* polymorph energy (0 for the lowest one): 0 meV per atom
* total energy: -6.84 eV/atom

Record 9
Below is a relaxed structure of Sr3NdN, with properties calculated at the PBE level.

Cell and atoms, written as extended XYZ:
```
5
Lattice="5.460 0.000 0.000 0.000 5.460 0.000 0.000 0.000 5.460" Properties=species:S:1:pos:R:3 pbc="T T T"
Sr 0.000 0.000 2.730
Sr 0.000 2.730 0.000
Sr 2.730 0.000 0.000
Nd 2.730 2.730 2.730
N 0.000 0.000 0.000
```

Summary:
* M_tot: 0.226 μB per cell
* V: 32.55 Å³ per atom
* total energy: -3.62 eV/atom

Record 10
Below is a relaxed structure of KGe2IrO6, with properties calculated at the PBE level.

Cell and atoms, written as extended XYZ:
```
20
Lattice="5.110 -4.590 0.000 5.110 4.590 0.000 -1.566 0.000 5.326" Properties=species:S:1:pos:R:3 pbc="T T T"
K 3.936 2.822 3.995
K 4.719 -2.822 1.332
Ge 0.912 0.876 4.222
Ge 1.695 -0.876 1.558
Ge 6.960 0.876 3.768
Ge 7.743 -0.876 1.105
Ir 4.719 0.819 1.332
Ir 3.936 -0.819 3.995
O 3.094 2.099 1.589
O 1.421 0.178 0.128
O 0.638 -0.178 2.791
O 2.649 0.710 4.636
O 6.344 2.099 1.074
O 3.432 -0.710 1.973
O 5.223 0.710 3.354
O 2.311 -2.099 4.253
O 6.006 -0.710 0.691
O 8.017 0.178 2.536
O 7.234 -0.178 5.199
O 5.561 -2.099 3.737
```

Summary:
* M_tot: 0.001 μB per cell
* V: 12.49 Å³ per atom
* total energy: -6.21 eV/atom

Record 11
Below is a relaxed structure of Hf2Bi3W4N3, with properties calculated at the PBE level.

Cell and atoms, written as extended XYZ:
```
24
Lattice="5.245 -2.982 0.000 5.245 2.982 0.000 -2.618 0.000 13.379" Properties=species:S:1:pos:R:3 pbc="T T T"
Hf 2.932 2.365 7.658
Hf 3.631 2.365 12.411
Hf 4.241 -2.365 0.968
Hf 4.940 -2.365 5.721
Bi -0.171 0.506 9.852
Bi 1.138 -0.506 3.162
Bi 3.282 0.438 10.035
Bi 4.591 -0.438 3.345
Bi 6.734 0.506 10.217
Bi 8.043 -0.506 3.527
W 2.916 0.853 1.115
W 2.799 0.122 5.734
W 1.490 -0.122 12.424
W 1.607 -0.853 7.805
W 6.266 0.853 5.574
W 6.382 0.122 0.956
W 5.073 -0.122 7.645
W 4.957 -0.853 12.264
N 1.314 1.491 6.690
N 1.600 1.833 13.096
N 4.963 1.833 6.973
N 2.623 -1.491 0.000
N 2.909 -1.833 6.406
N 6.272 -1.833 0.283
```

Summary:
* M_tot: 0.007 μB per cell
* V: 17.44 Å³ per atom
* total energy: -9.02 eV/atom

Record 12
Below is a relaxed structure of YTmAlCo2, with properties calculated at the PBE level.

Cell and atoms, written as extended XYZ:
```
5
Lattice="-2.018 2.711 4.103 2.018 -2.711 4.103 2.018 2.711 -4.103" Properties=species:S:1:pos:R:3 pbc="T T T"
Y 0.000 0.000 0.000
Tm 0.000 0.000 3.365
Al 0.000 2.711 1.680
Co 2.018 1.214 1.687
Co 0.000 1.496 5.790
```

Summary:
* M_tot: 0.005 μB per cell
* V: 17.95 Å³ per atom
* polymorph energy (0 for the lowest one): 0 meV per atom
* total energy: -6.19 eV/atom

Record 13
Below is a relaxed structure of MgScGa2Pt4, with properties calculated at the PBE level.

Cell and atoms, written as extended XYZ:
```
8
Lattice="4.487 0.000 0.000 0.000 4.487 0.000 0.000 0.000 6.347" Properties=species:S:1:pos:R:3 pbc="T T T"
Mg 0.000 0.000 0.000
Sc 2.243 2.243 3.174
Ga 0.000 0.000 3.174
Ga 2.243 2.243 0.000
Pt 0.000 2.243 1.556
Pt 0.000 2.243 4.791
Pt 2.243 0.000 1.556
Pt 2.243 0.000 4.791
```

Summary:
* M_tot: 0.002 μB per cell
* V: 15.97 Å³ per atom
* total energy: -5.60 eV/atom

Record 14
Below is a relaxed structure of ErBe3Au, with properties calculated at the PBE level.

Cell and atoms, written as extended XYZ:
```
10
Lattice="-3.060 3.060 4.822 3.060 -3.060 4.822 3.060 3.060 -4.822" Properties=species:S:1:pos:R:3 pbc="T T T"
Er 0.000 0.000 0.000
Er 0.000 0.000 4.822
Be 3.719 0.659 0.000
Be 0.000 0.000 2.411
Be 0.659 2.400 0.000
Be 2.400 0.659 4.822
Be 0.000 0.000 7.233
Be -0.659 2.400 4.822
Au 3.060 0.000 2.411
Au 0.000 3.060 2.411
```

Summary:
* M_tot: 0.013 μB per cell
* V: 18.06 Å³ per atom
* total energy: -2.66 eV/atom

Record 15
Below is a relaxed structure of Ho2Tm2CF5, with properties calculated at the PBE level.

Cell and atoms, written as extended XYZ:
```
10
Lattice="7.316 -1.714 0.000 7.316 1.714 0.000 -2.297 0.000 6.368" Properties=species:S:1:pos:R:3 pbc="T T T"
Ho -0.580 0.000 1.668
Ho 12.916 0.000 4.700
Tm 4.049 0.000 2.332
Tm 8.287 0.000 4.036
C 6.168 0.000 3.184
F 1.668 0.000 2.602
F 0.639 0.000 5.437
F 7.316 0.000 0.000
F 11.697 0.000 0.931
F 10.667 0.000 3.766
```

Summary:
* M_tot: 0.007 μB per cell
* V: 15.97 Å³ per atom
* total energy: -6.31 eV/atom

Record 16
Below is a relaxed structure of Li2Sm2Zn15, with properties calculated at the PBE level.

Cell and atoms, written as extended XYZ:
```
19
Lattice="4.515 2.607 4.352 -4.515 2.607 4.352 0.000 -5.213 4.352" Properties=species:S:1:pos:R:3 pbc="T T T"
Li 0.000 0.000 1.277
Li 0.000 0.000 11.780
Sm 0.000 0.000 4.430
Sm 0.000 0.000 8.627
Zn -4.515 0.000 6.529
Zn -1.332 -2.907 4.352
Zn -2.257 1.303 2.176
Zn -3.183 0.300 4.352
Zn -2.214 -1.278 6.348
Zn 1.332 -2.907 4.352
Zn -1.851 2.607 4.352
Zn 0.000 -2.557 6.709
Zn -2.214 1.278 6.709
Zn 2.257 1.303 2.176
Zn 2.214 -1.278 6.348
Zn 0.000 2.557 6.348
Zn 3.183 0.300 4.352
Zn 1.851 2.607 4.352
Zn 2.214 1.278 6.709
```

Summary:
* M_tot: 0.015 μB per cell
* V: 16.17 Å³ per atom
* total energy: -1.97 eV/atom

Record 17
Below is a relaxed structure of HfBe2Nb, with properties calculated at the PBE level.

Cell and atoms, written as extended XYZ:
```
4
Lattice="0.000 3.116 3.116 3.116 0.000 3.116 3.116 3.116 0.000" Properties=species:S:1:pos:R:3 pbc="T T T"
Hf 0.000 0.000 0.000
Be 1.558 1.558 1.558
Be 3.116 3.116 3.116
Nb 4.674 4.674 4.674
```

Summary:
* M_tot: 0.012 μB per cell
* V: 15.13 Å³ per atom
* total energy: -6.30 eV/atom

Record 18
Below is a relaxed structure of BaZrAlS3, with properties calculated at the PBE level.

Cell and atoms, written as extended XYZ:
```
12
Lattice="1.878 -7.312 0.000 1.878 7.312 0.000 0.000 0.000 9.746" Properties=species:S:1:pos:R:3 pbc="T T T"
Ba 1.878 3.696 7.309
Ba 1.878 -3.696 2.436
Zr 0.000 0.000 0.000
Zr 0.000 0.000 4.873
Al 1.878 0.413 2.436
Al 1.878 -0.413 7.309
S 1.878 6.244 2.436
S 1.878 1.867 0.619
S 1.878 1.867 4.254
S 1.878 -1.867 5.492
S 1.878 -1.867 9.127
S 1.878 -6.244 7.309
```

Summary:
* M_tot: 0.308 μB per cell
* V: 22.31 Å³ per atom
* total energy: -5.63 eV/atom

Record 19
Below is a relaxed structure of BaCoHgSe3, with properties calculated at the PBE level.

Cell and atoms, written as extended XYZ:
```
12
Lattice="2.136 -6.544 0.000 2.136 6.544 0.000 0.000 0.000 11.356" Properties=species:S:1:pos:R:3 pbc="T T T"
Ba 2.136 3.387 8.517
Ba 2.136 -3.387 2.839
Co 2.136 5.932 2.839
Co 2.136 -5.932 8.517
Hg 2.136 0.000 0.000
Hg 2.136 0.000 5.678
Se 2.136 4.723 0.792
Se 2.136 4.723 4.886
Se 2.136 0.582 2.839
Se 2.136 -0.582 8.517
Se 2.136 -4.723 6.470
Se 2.136 -4.723 10.563
```

Summary:
* M_tot: 5.771 μB per cell
* V: 26.45 Å³ per atom
* polymorph energy (0 for the lowest one): 0 meV per atom
* total energy: -3.92 eV/atom

Record 20
Below is a relaxed structure of CsSmB3H12, with properties calculated at the PBE level.

Cell and atoms, written as extended XYZ:
```
17
Lattice="5.910 0.000 0.000 0.000 5.910 0.000 0.000 0.000 5.756" Properties=species:S:1:pos:R:3 pbc="T T T"
Cs 0.000 0.000 0.000
Sm 2.955 2.955 2.878
B 0.000 2.955 2.682
B 2.955 0.000 3.074
B 2.955 2.955 0.000
H 0.000 1.932 2.027
H 0.000 3.978 2.027
H 0.879 2.955 3.543
H 1.932 0.000 3.729
H 1.937 2.955 5.061
H 2.955 0.879 2.213
H 2.955 1.937 0.695
H 2.955 3.974 0.695
H 2.955 5.031 2.213
H 3.974 2.955 5.061
H 3.978 0.000 3.729
H 5.031 2.955 3.543
```

Summary:
* M_tot: 0.002 μB per cell
* V: 11.83 Å³ per atom
* total energy: -4.15 eV/atom